1.
Below is crystalline YHfMn2O6 at its relaxed geometry, with properties calculated at the PBE+U level.

Geometry as CIF:
```
data_YHfMn2O6
_chemical_formula_sum 'Y1 Hf1 Mn2 O6'
_symmetry_space_group_name_H-M 'P 1'
_symmetry_Int_Tables_number 1
_symmetry_space_group_name_Hall 'P 1'
_cell_length_a 5.378
_cell_length_b 5.387
_cell_length_c 5.777
_cell_angle_alpha 62.47
_cell_angle_beta 62.51
_cell_angle_gamma 60.14
loop_
_atom_site_label
_atom_site_type_symbol
_atom_site_fract_x
_atom_site_fract_y
_atom_site_fract_z
Y1 Y 0.000 0.000 0.000
Hf1 Hf 0.512 0.515 0.456
Mn1 Mn 0.206 0.207 0.381
Mn2 Mn 0.724 0.725 0.824
O1 O 0.127 0.817 0.640
O2 O 0.332 0.567 0.171
O3 O 0.412 0.129 0.642
O4 O 0.566 0.929 0.174
O5 O 0.817 0.414 0.640
O6 O 0.927 0.333 0.174
```

---

2.
Below is crystalline HfMnZnO4 at its relaxed geometry, with properties calculated at the PBE+U level.

Geometry as CIF:
```
data_HfMnZnO4
_chemical_formula_sum 'Hf4 Mn4 Zn4 O16'
_symmetry_space_group_name_H-M 'I m m a'
_symmetry_Int_Tables_number 74
_symmetry_space_group_name_Hall '-I 2b 2'
_cell_length_a 6.091
_cell_length_b 6.337
_cell_length_c 8.653
_cell_angle_alpha 90.00
_cell_angle_beta 90.00
_cell_angle_gamma 90.00
loop_
_atom_site_label
_atom_site_type_symbol
_atom_site_fract_x
_atom_site_fract_y
_atom_site_fract_z
Hf1 Hf 0.000 0.000 0.000
Mn1 Mn 0.250 0.250 0.250
Zn1 Zn 0.000 0.250 0.635
O1 O 0.000 0.017 0.241
O2 O 0.228 0.250 0.000
```

---

Results for calculated total energy: -8.64, -7.51 (in eV/atom, following the order of the records).